# HgC5 | Alexandria via LeMat-Bulk | PBE | optimized geometry
data_HgC5
_chemical_formula_sum 'Hg1 C5'
_cell_length_a 4.546
_cell_length_b 4.546
_cell_length_c 4.546
_cell_angle_alpha 60.00
_cell_angle_beta 60.00
_cell_angle_gamma 60.00
_space_group_name_H-M_alt 'P 1'
_space_group_IT_number 1
loop_
_space_group_symop_operation_xyz
'x,y,z'
loop_
_atom_site_label
_atom_site_type_symbol
_atom_site_fract_x
_atom_site_fract_y
_atom_site_fract_z
C1 C 0.250 0.250 0.250
C2 C 0.241 0.586 0.586
Hg1 Hg 0.000 0.000 0.000
C3 C 0.586 0.586 0.586
C4 C 0.586 0.586 0.241
C5 C 0.586 0.241 0.586
# Raw total energy = -4.3846 eV/atom
# M_tot = 0.07 μB/cell
# ΔE to the lowest computed polymorph = 2321 meV/atom
# Calculated formation energy = 3.352 eV per atom

---

# Sr4LaHg | Alexandria via LeMat-Bulk | PBE | optimized geometry
data_Sr4LaHg
_chemical_formula_sum 'Sr4 La1 Hg1'
_cell_length_a 7.375
_cell_length_b 7.375
_cell_length_c 7.375
_cell_angle_alpha 60.00
_cell_angle_beta 60.00
_cell_angle_gamma 60.00
_space_group_name_H-M_alt 'P 1'
_space_group_IT_number 1
loop_
_space_group_symop_operation_xyz
'x,y,z'
loop_
_atom_site_label
_atom_site_type_symbol
_atom_site_fract_x
_atom_site_fract_y
_atom_site_fract_z
Sr1 Sr 0.374 0.374 0.374
Sr2 Sr 0.374 0.877 0.374
La1 La 0.000 0.000 0.000
Sr3 Sr 0.374 0.374 0.877
Hg1 Hg 0.750 0.750 0.750
Sr4 Sr 0.877 0.374 0.374
# Raw total energy = -1.6230 eV/atom
# M_tot = 1.82 μB/cell
# Calculated formation energy = 0.370 eV per atom

---

# Rb2YAgI6 | Alexandria via LeMat-Bulk | PBE | optimized geometry
data_Rb2YAgI6
_chemical_formula_sum 'Rb4 Y2 Ag2 I12'
_cell_length_a 8.397
_cell_length_b 8.707
_cell_length_c 11.707
_cell_angle_alpha 90.00
_cell_angle_beta 90.08
_cell_angle_gamma 90.00
_space_group_name_H-M_alt 'P 1'
_space_group_IT_number 1
loop_
_space_group_symop_operation_xyz
'x,y,z'
loop_
_atom_site_label
_atom_site_type_symbol
_atom_site_fract_x
_atom_site_fract_y
_atom_site_fract_z
Rb1 Rb 0.478 0.427 0.249
Rb2 Rb 0.022 0.927 0.251
I1 I 0.294 0.698 0.043
Y1 Y 0.500 0.000 0.500
I2 I 0.794 0.802 0.543
I3 I 0.206 0.198 0.457
I4 I 0.805 0.791 0.960
I5 I 0.085 0.489 0.746
Ag1 Ag 0.000 0.500 0.500
Rb3 Rb 0.522 0.573 0.751
Ag2 Ag 0.500 0.000 0.000
I6 I 0.915 0.511 0.254
I7 I 0.195 0.209 0.040
Rb4 Rb 0.978 0.073 0.749
I8 I 0.706 0.302 0.957
I9 I 0.695 0.291 0.540
I10 I 0.585 0.011 0.246
Y2 Y 0.000 0.500 0.000
I11 I 0.415 0.989 0.754
I12 I 0.305 0.709 0.460
# Raw total energy = -3.2547 eV/atom
# M_tot = 0.00 μB/cell
# ΔE to the lowest computed polymorph = 0 meV/atom

---

# Pm2AlAg2 | Alexandria via LeMat-Bulk | PBE | optimized geometry
data_Pm2AlAg2
_chemical_formula_sum 'Pm4 Al2 Ag4'
_cell_length_a 4.536
_cell_length_b 5.943
_cell_length_c 10.189
_cell_angle_alpha 83.28
_cell_angle_beta 77.14
_cell_angle_gamma 67.57
_space_group_name_H-M_alt 'P 1'
_space_group_IT_number 1
loop_
_space_group_symop_operation_xyz
'x,y,z'
loop_
_atom_site_label
_atom_site_type_symbol
_atom_site_fract_x
_atom_site_fract_y
_atom_site_fract_z
Ag1 Ag 0.015 0.852 0.119
Al1 Al 0.776 0.098 0.349
Pm1 Pm 0.305 0.280 0.111
Ag2 Ag 0.148 0.268 0.437
Pm2 Pm 0.511 0.317 0.662
Pm3 Pm 0.695 0.720 0.889
Ag3 Ag 0.852 0.732 0.563
Al2 Al 0.224 0.902 0.651
Pm4 Pm 0.489 0.683 0.338
Ag4 Ag 0.985 0.148 0.881
# Raw total energy = -4.0828 eV/atom
# M_tot = 0.00 μB/cell
# ΔE to the lowest computed polymorph = 0 meV/atom
# Calculated formation energy = -0.294 eV per atom

---

# Tb2CeY3Te6 | Alexandria via LeMat-Bulk | PBE | optimized geometry
data_Tb2CeY3Te6
_chemical_formula_sum 'Tb2 Ce1 Y3 Te6'
_cell_length_a 4.363
_cell_length_b 8.837
_cell_length_c 9.819
_cell_angle_alpha 103.16
_cell_angle_beta 102.84
_cell_angle_gamma 90.00
_space_group_name_H-M_alt 'P 1'
_space_group_IT_number 1
loop_
_space_group_symop_operation_xyz
'x,y,z'
loop_
_atom_site_label
_atom_site_type_symbol
_atom_site_fract_x
_atom_site_fract_y
_atom_site_fract_z
Te1 Te 0.668 0.583 0.336
Ce1 Ce 0.500 0.000 0.000
Te2 Te 0.000 0.257 0.999
Te3 Te 0.670 0.084 0.340
Y1 Y 0.500 0.500 0.000
Y2 Y 0.835 0.167 0.671
Te4 Te 0.330 0.916 0.660
Tb1 Tb 0.836 0.671 0.672
Tb2 Tb 0.164 0.329 0.328
Y3 Y 0.165 0.833 0.329
Te5 Te 0.000 0.743 0.001
Te6 Te 0.332 0.417 0.664
# Raw total energy = -5.7768 eV/atom
# M_tot = 1.33 μB/cell

---

# MgIn2Ru | Alexandria via LeMat-Bulk | PBE | optimized geometry
data_MgIn2Ru
_chemical_formula_sum 'Mg1 In2 Ru1'
_cell_length_a 4.756
_cell_length_b 4.756
_cell_length_c 4.756
_cell_angle_alpha 60.00
_cell_angle_beta 60.00
_cell_angle_gamma 60.00
_space_group_name_H-M_alt 'P 1'
_space_group_IT_number 1
loop_
_space_group_symop_operation_xyz
'x,y,z'
loop_
_atom_site_label
_atom_site_type_symbol
_atom_site_fract_x
_atom_site_fract_y
_atom_site_fract_z
In1 In 0.000 0.000 0.000
In2 In 0.250 0.250 0.250
Mg1 Mg 0.500 0.500 0.500
Ru1 Ru 0.750 0.750 0.750
# Raw total energy = -3.8693 eV/atom
# M_tot = 0.00 μB/cell
# Calculated formation energy = 0.218 eV per atom

---

# RbDyMgSe3 | Alexandria via LeMat-Bulk | PBE | optimized geometry
data_RbDyMgSe3
_chemical_formula_sum 'Rb2 Dy2 Mg2 Se6'
_cell_length_a 4.273
_cell_length_b 9.342
_cell_length_c 10.270
_cell_angle_alpha 109.09
_cell_angle_beta 90.00
_cell_angle_gamma 90.00
_space_group_name_H-M_alt 'P 1'
_space_group_IT_number 1
loop_
_space_group_symop_operation_xyz
'x,y,z'
loop_
_atom_site_label
_atom_site_type_symbol
_atom_site_fract_x
_atom_site_fract_y
_atom_site_fract_z
Dy1 Dy 0.750 0.332 0.867
Mg1 Mg 0.250 0.086 0.611
Se1 Se 0.250 0.797 0.455
Se2 Se 0.750 0.470 0.155
Mg2 Mg 0.750 0.914 0.389
Se3 Se 0.250 0.120 0.865
Se4 Se 0.250 0.530 0.845
Se5 Se 0.750 0.203 0.545
Rb1 Rb 0.750 0.788 0.768
Se6 Se 0.750 0.880 0.135
Rb2 Rb 0.250 0.212 0.232
Dy2 Dy 0.250 0.668 0.133
# Raw total energy = -4.4936 eV/atom
# M_tot = 0.00 μB/cell

---

# YPt2Au | Alexandria via LeMat-Bulk | PBE | optimized geometry
data_YPt2Au
_chemical_formula_sum 'Y1 Pt2 Au1'
_cell_length_a 4.751
_cell_length_b 4.751
_cell_length_c 4.751
_cell_angle_alpha 60.00
_cell_angle_beta 60.00
_cell_angle_gamma 60.00
_space_group_name_H-M_alt 'P 1'
_space_group_IT_number 1
loop_
_space_group_symop_operation_xyz
'x,y,z'
loop_
_atom_site_label
_atom_site_type_symbol
_atom_site_fract_x
_atom_site_fract_y
_atom_site_fract_z
Pt1 Pt 0.250 0.250 0.250
Pt2 Pt 0.000 0.000 0.000
Au1 Au 0.500 0.500 0.500
Y1 Y 0.750 0.750 0.750
# Raw total energy = -6.1210 eV/atom
# M_tot = 0.00 μB/cell
# Calculated formation energy = -0.665 eV per atom

---

> What is the raw total energy in the fourth record?

-4.0828 eV/atom

---

What did the fifth record say?
# Tb2CeY3Te6 | Alexandria via LeMat-Bulk | PBE | optimized geometry
data_Tb2CeY3Te6
_chemical_formula_sum 'Tb2 Ce1 Y3 Te6'
_cell_length_a 4.363
_cell_length_b 8.837
_cell_length_c 9.819
_cell_angle_alpha 103.16
_cell_angle_beta 102.84
_cell_angle_gamma 90.00
_space_group_name_H-M_alt 'P 1'
_space_group_IT_number 1
loop_
_space_group_symop_operation_xyz
'x,y,z'
loop_
_atom_site_label
_atom_site_type_symbol
_atom_site_fract_x
_atom_site_fract_y
_atom_site_fract_z
Te1 Te 0.668 0.583 0.336
Ce1 Ce 0.500 0.000 0.000
Te2 Te 0.000 0.257 0.999
Te3 Te 0.670 0.084 0.340
Y1 Y 0.500 0.500 0.000
Y2 Y 0.835 0.167 0.671
Te4 Te 0.330 0.916 0.660
Tb1 Tb 0.836 0.671 0.672
Tb2 Tb 0.164 0.329 0.328
Y3 Y 0.165 0.833 0.329
Te5 Te 0.000 0.743 0.001
Te6 Te 0.332 0.417 0.664
# Raw total energy = -5.7768 eV/atom
# M_tot = 1.33 μB/cell

---

> Which of these has the highest M_tot?

Sr4LaHg

---

> Among the records above, which one has the lowest raw total energy?

YPt2Au